Entry 1:
Compound: Sm2Si3Pt12Au
Source: the Alexandria database
Functional: PBE
Structure: optimized geometry

Structure (POSCAR):
```
Sm2Si3Pt12Au
1.0
-3.0895 0.8282 6.9517
-4.6824 -5.6907 2.0612
2.8939 -4.6900 5.3091
Si Pt Sm Au
3 12 2 1
Cartesian
-1.5448 0.4141 3.4759
-2.3412 -2.8454 1.0306
1.4470 -2.3450 2.6546
-2.8947 -4.0176 2.9527
-4.2718 -6.4745 6.1902
-1.9833 -5.5348 11.3693
-3.4060 -2.9313 8.8483
-0.6062 -3.0779 8.1319
-1.4720 -6.6212 5.4738
-2.1387 -0.9239 5.2736
-2.7393 -8.6286 9.0484
-4.7242 -3.6219 6.3666
-0.1538 -5.9306 7.9555
0.7009 -3.5427 4.4941
-5.5789 -6.0098 9.8280
-1.9132 -3.7465 5.6171
-2.9648 -5.8060 8.7049
0.0000 0.0000 0.0000
```

- magnetic moment (Bohr magnetons per cell) = 0.000
- uncorrected formation energy (kJ/mol of formula units) = -726.6
- electronic total energy (Ha/atom) = -0.22255

***

Entry 2:
Compound: MgCu2OsN
Source: the Alexandria database
Functional: PBE
Structure: optimized geometry

Structure (POSCAR):
```
MgCu2OsN
1.0
-0.4228 4.1389 -2.4734
-2.9905 0.8858 1.9935
2.8210 2.2260 3.2426
Cu N Os Mg
2 1 1 1
Cartesian
1.4105 1.1130 1.6213
-0.2114 2.0695 -1.2367
-1.4952 0.4429 0.9968
0.0000 0.0000 0.0000
-0.2961 3.6254 1.3813
```

- magnetic moment (Bohr magnetons per cell) = 0.000
- uncorrected formation energy (kJ/mol of formula units) = 289.6
- electronic total energy (Ha/atom) = -0.19360

***

Entry 3:
Compound: BeCd2W
Source: the Alexandria database
Functional: PBE
Structure: optimized geometry

Structure (POSCAR):
```
BeCd2W
1.0
-3.7095 3.2622 -2.6066
-5.2122 0.9811 -1.7511
-2.4680 2.6789 2.8077
Be Cd W
1 2 1
Cartesian
-2.8474 1.7306 -0.3875
-5.9241 3.5167 -1.0296
-8.6925 4.1878 -4.1032
-8.5423 5.1917 -1.1626
```

- magnetic moment (Bohr magnetons per cell) = 0.000
- DFT formation energy (eV/atom) = 0.59
- electronic total energy (Ha/atom) = -0.14824

***

Entry 4:
Compound: Al2ZnGa
Source: the Alexandria database
Functional: PBE
Structure: optimized geometry

Structure (POSCAR):
```
Al2ZnGa
1.0
7.3697 0.0000 0.0000
0.0000 7.3697 0.0000
3.6849 3.6849 2.7435
Zn Al Ga
2 4 2
Cartesian
3.6849 3.6849 0.0000
3.6849 7.3697 1.3717
5.5273 5.5644 2.0576
5.4902 1.8424 0.6859
9.2121 9.1751 2.0576
1.8795 5.5273 0.6859
0.0000 0.0000 0.0000
7.3697 3.6849 1.3717
```

- magnetic moment (Bohr magnetons per cell) = 0.000
- DFT formation energy (eV/atom) = 0.20
- electronic total energy (Ha/atom) = -0.10087